No. 1
# Tm4CuPb

Crystalline Tm4CuPb at its relaxed geometry (PBE-GGA, Alexandria).

## Properties
calculated volume = 313.80 Å³ per cell
VASP energy = -54.3 eV for the cell shown
energy of formation from the pure elements = -0.246 eV/atom
symmetry = No. 11
total moment = 0.0 μB/cell

```
12
Lattice="5.0026 0.0000 -2.1451 0.0000 6.8358 0.0000 -0.2360 0.0000 9.2775" Properties=species:S:1:pos:R:3 pbc="T T T"
Tm 2.8307 1.7089 2.9167
Tm 1.9359 5.1268 4.2157
Tm 3.0294 1.7089 6.5716
Tm 1.7372 5.1268 0.5608
Tm 4.6069 0.0713 0.3775
Tm 0.1597 3.4892 6.7548
Tm 4.6069 3.3466 0.3775
Tm 0.1597 6.7644 6.7548
Cu 0.7694 1.7089 4.6720
Cu 3.9972 5.1268 2.4604
Pb 1.5007 1.7089 0.0675
Pb 3.2659 5.1268 7.0649
```

No. 2
# Ac2SiTc

Crystalline Ac2SiTc at its relaxed geometry (PBE-GGA, Alexandria).

## Properties
calculated volume = 126.85 Å³ per cell
VASP energy = -25.2 eV for the cell shown
symmetry = No. 8
formation energy without anion corrections = -0.31 eV/atom
total moment = 0.0 μB/cell

```
4
Lattice="-3.9912 -0.4551 -1.4557 -1.1836 -3.6384 -1.9019 -3.9615 -4.3346 5.9977" Properties=species:S:1:pos:R:3 pbc="T T T"
Ac -3.7066 -3.9938 5.1702
Ac -2.5416 -2.4501 1.4874
Si -4.8487 -4.5869 2.2152
Tc -6.5690 -5.9458 1.0852
```